Computed, not measured: an optimized crystal structure of AlFeP2O at the GGA+U level of DFT.

Cell lengths 5.037, 5.037, 3.311 Å; angles 90.00, 90.00, 90.00 degrees
Element x y z (fractional)
Al1 0.000 0.000 0.000
Fe1 0.500 0.500 0.500
P1 0.000 0.500 0.000
P2 0.500 0.000 0.000
O1 0.000 0.000 0.500

## Properties
E, eV per atom: -5.09
Energy above the most stable polymorph in this dataset, eV per atom: 0.0000
N(E_F), states/eV/atom: 0.599
Crystal system: tetragonal